# 1
An optimized crystal structure of AcCd3Ga, computed with PBE.

Unit cell a=6.548 b=6.546 c=6.818 alpha=90.00 beta=118.68 gamma=90.00
Space group Cm (No. 8)
One atom of each set of equivalent atoms:
Ac (0.000, 0.000, 0.000) [2 per cell]
Cd (0.381, 0.000, 0.761) [2 per cell]
Cd (0.486, 0.249, 0.470) [4 per cell]
Ga (0.103, 0.500, 0.204) [2 per cell]

Results
V ... 25.64 Å³ per atom
Formation energy ... -0.35 eV/atom
M_tot ... 0.0 μB/f.u.

---

# 2
An optimized crystal structure of HgMo2, computed with PBE.

Unit cell a=9.964 b=3.521 c=6.248 alpha=90.00 beta=108.86 gamma=90.00
Space group C2/m (No. 12)
One atom of each set of equivalent atoms:
Hg (0.172, 0.000, 0.324) [4 per cell]
Mo (0.000, 0.500, 0.000) [2 per cell]
Mo (0.000, 0.500, 0.500) [2 per cell]
Mo (0.148, 0.000, 0.833) [4 per cell]

Results
V ... 17.29 Å³ per atom
Formation energy ... 0.52 eV/atom
M_tot ... 0.0 μB/f.u.
Relative energy among the computed polymorphs ... 119 meV per atom